{"formula": "KBi2S4", "functional": "GGA-PBE", "state": "relaxed", "lattice": [[4.0433, 0.0000, 0.0000], [-2.0217, 6.7504, 0.0000], [0.0000, 0.0000, 14.1176]], "species": ["S", "S", "S", "S", "S", "S", "S", "S", "K", "K", "Bi", "Bi", "Bi", "Bi"], "fractional_positions": [[0.2317, 0.4634, 0.6086], [0.5000, 0.0000, 0.0000], [0.9271, 0.8541, 0.7500], [0.0729, 0.1459, 0.2500], [0.2317, 0.4634, 0.8914], [0.5000, 0.0000, 0.5000], [0.7683, 0.5366, 0.1086], [0.7683, 0.5366, 0.3914], [0.6069, 0.2138, 0.7500], [0.3931, 0.7862, 0.2500], [0.8641, 0.7283, 0.5694], [0.1359, 0.2717, 0.4306], [0.1359, 0.2717, 0.0694], [0.8641, 0.7283, 0.9306]], "sg": "Cmcm, No. 63", "magnetic_moment_mub_per_fu": 0.2, "e_form_raw_ev_per_atom": -0.4510}